AlZn2Re, optimized geometry, DFT GGA-PBEsol; final energy = -0.3672 Ry per atom; calculated formation energy = 150 meV per atom; symmetry = No. 99
1.0
2.698 0.000 0.000
0.000 2.698 0.000
0.000 0.000 7.872
Al Zn Re
1 2 1
Cartesian
0.000 0.000 0.000 Al
0.000 0.000 3.901 Zn
1.349 1.349 5.844 Zn
1.349 1.349 1.929 Re



AlWAu2, optimized geometry, DFT GGA-PBEsol; final energy = -0.4487 Ry per atom; calculated formation energy = 331 meV per atom; symmetry = No. 119
1.0
-2.005 2.005 3.988
2.005 -2.005 3.988
2.005 2.005 -3.988
Al W Au
1 1 2
Cartesian
0.000 0.000 0.000 Al
2.005 0.000 1.994 W
0.000 0.000 3.988 Au
0.000 2.005 1.994 Au



Pr12Ni6Pb, optimized geometry, DFT GGA-PBEsol; final energy = -0.4177 Ry per atom; calculated formation energy = -254 meV per atom; symmetry = No. 204
1.0
-4.987 4.987 4.987
4.987 -4.987 4.987
4.987 4.987 -4.987
Pr Ni Pb
12 6 1
Cartesian
4.987 3.132 -1.922 Pr
3.064 0.000 1.855 Pr
6.909 0.000 1.855 Pr
1.855 3.064 0.000 Pr
3.132 -1.922 4.987 Pr
0.000 1.855 3.064 Pr
4.987 3.132 1.922 Pr
1.855 6.909 0.000 Pr
3.132 1.922 4.987 Pr
-1.922 4.987 3.132 Pr
1.922 4.987 3.132 Pr
0.000 1.855 6.909 Pr
4.987 1.204 0.000 Ni
4.987 0.000 3.783 Ni
3.783 4.987 0.000 Ni
1.204 0.000 4.987 Ni
0.000 4.987 1.204 Ni
0.000 3.783 4.987 Ni
0.000 0.000 0.000 Pb



Er2PbSe4, optimized geometry, DFT GGA-PBEsol; final energy = -0.4154 Ry per atom; uncorrected formation energy = -1473 meV/atom; symmetry = No. 62
1.0
12.547 0.000 0.000
0.000 4.032 0.000
0.000 0.000 14.577
Er Pb Se
8 4 16
Cartesian
0.718 1.008 1.670 Er
1.120 1.008 8.614 Er
5.154 3.024 1.326 Er
5.555 3.024 8.959 Er
6.992 1.008 5.618 Er
7.393 1.008 13.252 Er
11.427 3.024 5.963 Er
11.829 3.024 12.907 Er
3.087 3.024 12.048 Pb
3.186 1.008 4.760 Pb
9.361 3.024 9.818 Pb
9.460 1.008 2.529 Pb
0.520 3.024 10.431 Se
1.167 1.008 13.502 Se
1.586 3.024 6.721 Se
2.534 3.024 2.451 Se
3.739 1.008 9.740 Se
4.688 1.008 14.010 Se
5.106 3.024 6.213 Se
5.754 1.008 3.142 Se
6.793 3.024 11.435 Se
7.441 1.008 8.364 Se
7.859 3.024 0.567 Se
8.807 3.024 4.838 Se
10.013 1.008 12.126 Se
10.961 1.008 7.856 Se
11.380 3.024 1.075 Se
12.027 1.008 4.146 Se



Y2ScAl, optimized geometry, DFT GGA-PBEsol; final energy = -0.4604 Ry per atom; calculated formation energy = -178 meV per atom; symmetry = No. 139
1.0
-2.283 2.283 4.652
2.283 -2.283 4.652
2.283 2.283 -4.652
Y Sc Al
2 1 1
Cartesian
2.283 0.000 2.326 Y
0.000 2.283 2.326 Y
0.000 0.000 0.000 Sc
0.000 0.000 4.652 Al



CrSb2RuI, optimized geometry, DFT GGA-PBEsol; final energy = -0.3676 Ry per atom; uncorrected formation energy = 1257 meV/atom; symmetry = No. 123
1.0
4.918 0.000 0.000
0.000 4.918 0.000
0.000 0.000 5.226
Cr Sb Ru I
1 2 1 1
Cartesian
0.000 0.000 0.000 Cr
0.000 2.459 0.000 Sb
2.459 0.000 0.000 Sb
2.459 2.459 2.613 Ru
0.000 0.000 2.613 I



LiRuRhO4, optimized geometry, DFT GGA-PBEsol; final energy = -0.5156 Ry per atom; uncorrected formation energy = -1119 meV/atom; symmetry = No. 74
1.0
-2.907 3.069 4.188
2.907 -3.069 4.188
2.907 3.069 -4.188
Li Ru Rh O
2 2 2 8
Cartesian
0.000 1.534 1.075 Li
2.907 1.534 3.113 Li
1.453 1.534 -2.094 Ru
1.453 -1.534 2.094 Ru
2.907 0.000 0.000 Rh
0.000 0.000 4.188 Rh
2.907 -0.129 2.040 O
2.907 2.940 -2.040 O
1.581 1.534 -0.100 O
4.233 1.534 -0.100 O
-1.326 1.534 4.288 O
1.326 1.534 4.288 O
0.000 0.129 6.228 O
0.000 3.198 2.148 O



CsVI3, optimized geometry, DFT GGA-PBEsol; final energy = -0.2972 Ry per atom; uncorrected formation energy = -869 meV/atom; symmetry = No. 194
1.0
7.977 0.000 0.000
-3.989 6.908 0.000
0.000 0.000 6.779
Cs V I
2 2 6
Cartesian
0.000 4.606 1.695 Cs
3.989 2.303 5.084 Cs
0.000 0.000 0.000 V
0.000 0.000 3.389 V
0.000 2.229 5.084 I
-2.058 5.794 5.084 I
1.930 1.114 1.695 I
2.058 5.794 5.084 I
6.047 1.114 1.695 I
3.989 4.679 1.695 I



Q: Among the records above, which one has the lowest final energy?
A: LiRuRhO4



Q: The lowest final energy belongs to which entry?
A: LiRuRhO4



Q: Look up the final energy of the second one.
A: -0.4487 Ry per atom